Record 1
Compound: ZrScH
Source: Alexandria
Functional: PBE
Structure: optimized geometry

For the excess energy over the best structure of this formula in the dataset, the calculation gives 58.5 meV per atom.

The structure belongs to space group C2 (No. 5); the cell edges are 5.4376, 5.4369 and 6.6654 Å and the angles 90.00°, 90.19° and 90.00°. The inequivalent atoms are Zr at (0.0051, 0.0000, 0.2582), Sc at (0.0000, 0.4945, 0.5000), Sc at (0.0000, 0.4958, 0.0000) and H at (0.1606, 0.3374, 0.7525).

=====

Record 2
Compound: ZrScH
Source: Alexandria
Functional: PBE
Structure: optimized geometry

For the excess energy over the best structure of this formula in the dataset, the calculation gives 159.1 meV per atom.

The structure belongs to space group Pnma (No. 62); the cell edges are 5.3263, 3.0400 and 11.9586 Å and the angles 90.00°, 90.00° and 90.00°. The inequivalent atoms are Zr at (0.2352, 0.2500, 0.1850), Sc at (0.2462, 0.2500, 0.4452) and H at (0.0783, 0.2500, 0.8157).

=====

Record 3
Compound: Zr2ScH3
Source: Alexandria
Functional: PBE
Structure: optimized geometry

The calculation puts the raw total energy at -5.950 eV/atom.

The structure belongs to space group C2/c (No. 15); the cell edges are 9.7708, 5.2564 and 6.1198 Å and the angles 90.00°, 110.96° and 90.00°. The inequivalent atoms are Zr at (0.1658, 0.0207, 0.0816), Sc at (0.0000, 0.4749, 0.2500), H at (0.0000, 0.0671, 0.2500) and H at (0.1687, 0.4258, 0.0829).

=====

Record 4
Compound: Zr3ScH8
Source: Alexandria
Functional: PBE
Structure: optimized geometry

The calculation puts the raw total energy at -5.506 eV/atom.

The structure belongs to space group I4/mmm (No. 139); the cell edges are 4.7091, 4.7091 and 9.8706 Å and the angles 90.00°, 90.00° and 90.00°. The inequivalent atoms are Zr at (0.0000, 0.0000, 0.0000), Zr at (0.0000, 0.5000, 0.2500), Sc at (0.0000, 0.0000, 0.5000) and H at (0.2503, 0.2503, 0.1244).

=====

Record 5
Compound: Zr2ScH
Source: Alexandria
Functional: PBE
Structure: optimized geometry

For the excess energy over the best structure of this formula in the dataset, the calculation gives 786.6 meV per atom.

The structure belongs to space group Fm-3m (No. 225); the cell edges are 6.7317, 6.7317 and 6.7317 Å and the angles 90.00°, 90.00° and 90.00°. The inequivalent atoms are Zr at (0.2500, 0.2500, 0.2500), Sc at (0.0000, 0.0000, 0.0000) and H at (0.0000, 0.0000, 0.5000).

=====

Record 6
Compound: Zr5Sc3H12
Source: Alexandria
Functional: PBE
Structure: optimized geometry

The calculation puts the raw total energy at -5.579 eV/atom.

The structure belongs to space group Ia-3d (No. 230); the cell edges are 11.9665, 11.9665 and 11.9665 Å and the angles 90.00°, 90.00° and 90.00°. The inequivalent atoms are Zr at (0.0000, 0.0000, 0.0000), Zr at (0.0000, 0.2500, 0.3750), Sc at (0.0000, 0.2500, 0.1250) and H at (0.0024, 0.0687, 0.6556).

=====

Record 7
Compound: ZrSc3H
Source: Alexandria
Functional: PBE
Structure: optimized geometry

For the excess energy over the best structure of this formula in the dataset, the calculation gives 1424.5 meV per atom.

The structure belongs to space group Pm-3m (No. 221); the cell edges are 5.2255, 5.2255 and 5.2255 Å and the angles 90.00°, 90.00° and 90.00°. The inequivalent atoms are Zr at (0.0000, 0.0000, 0.0000), Sc at (0.0000, 0.0000, 0.5000) and H at (0.5000, 0.5000, 0.5000).

=====

Record 8
Compound: Zr2ScH
Source: Alexandria
Functional: PBE
Structure: optimized geometry

For the excess energy over the best structure of this formula in the dataset, the calculation gives 0.0 meV per atom.

The structure belongs to space group R-3m (No. 166, hexagonal axes); the cell edges are 3.1401, 3.1401 and 25.5633 Å and the angles 90.00°, 90.00° and 120.00°. The inequivalent atoms are Zr at (0.0000, 0.0000, 0.1136), Sc at (0.0000, 0.0000, 0.0000) and H at (0.0000, 0.0000, 0.5000).